[1]
Compound: ZnMoOs2
Source: the Alexandria database
Functional: PBE-GGA
Structure: optimized geometry

The structure in POSCAR format:
```
ZnMoOs2
1.0
1.377 0.795 9.016
-1.377 0.795 9.016
0.000 -1.591 9.016
Zn Mo Os
1 1 2
Cartesian
0.000 0.000 0.000
0.000 0.000 20.378
0.000 0.000 6.770
0.000 0.000 13.624
```

Results
The energy of formation comes out at 183 meV per atom. The value obtained for the calculated density is 15.2 g/cm3. The magnetic moment is 0.000 μB/f.u. The value obtained for the energy is -33.83 eV per cell. As for the crystal system: trigonal.


[2]
Compound: ZnMoOs2
Source: the Alexandria database
Functional: PBE-GGA
Structure: optimized geometry

The structure in POSCAR format:
```
ZnMoOs2
1.0
2.804 0.000 0.000
0.000 2.804 0.000
0.000 0.000 7.465
Zn Mo Os
1 1 2
Cartesian
0.000 0.000 0.000
0.000 0.000 3.732
1.402 1.402 1.860
1.402 1.402 5.604
```

Results
The energy of formation comes out at 178 meV per atom. The value obtained for the calculated density is 15.3 g/cm3. The magnetic moment is 0.000 μB/f.u. The value obtained for the energy is -33.85 eV per cell. As for the crystal system: tetragonal.


[3]
Compound: ZnMoOs2
Source: the Alexandria database
Functional: PBE-GGA
Structure: optimized geometry

The structure in POSCAR format:
```
ZnMoOs2
1.0
-1.559 2.129 4.388
1.559 -2.129 4.388
1.559 2.129 -4.388
Zn Mo Os
1 1 2
Cartesian
0.000 0.000 0.000
1.559 0.000 2.211
0.000 0.000 4.400
0.000 2.129 2.249
```

Results
The energy of formation comes out at 236 meV per atom. The value obtained for the calculated density is 15.4 g/cm3. The magnetic moment is 0.000 μB/f.u. The value obtained for the energy is -33.62 eV per cell. As for the crystal system: orthorhombic.


[4]
Compound: ZnMoOs2
Source: the Alexandria database
Functional: PBE-GGA
Structure: optimized geometry

The structure in POSCAR format:
```
ZnMoOs2
1.0
-1.873 1.873 4.159
1.873 -1.873 4.159
1.873 1.873 -4.159
Zn Mo Os
1 1 2
Cartesian
0.000 0.000 0.000
1.873 0.000 2.079
0.000 0.000 4.159
0.000 1.873 2.079
```

Results
The energy of formation comes out at 241 meV per atom. The value obtained for the calculated density is 15.4 g/cm3. The magnetic moment is 0.000 μB/f.u. The value obtained for the energy is -33.60 eV per cell. As for the crystal system: tetragonal.


[5]
Compound: ZnMoOs
Source: the Alexandria database
Functional: PBE-GGA
Structure: optimized geometry

The structure in POSCAR format:
```
ZnMoOs
1.0
-1.543 1.543 4.665
1.543 -1.543 4.665
1.543 1.543 -4.665
Zn Mo Os
1 1 1
Cartesian
0.000 0.000 0.000
0.000 0.000 2.999
0.000 0.000 6.235
```

Results
For the offset from the most stable computed form, the calculation gives 0.0 meV per atom. The energy of formation comes out at 78 meV per atom. The value obtained for the calculated density is 13.1 g/cm3. The magnetic moment is 0.000 μB/f.u. The value obtained for the energy is -23.10 eV per cell. As for the crystal system: tetragonal.


[6]
Compound: ZnMoOs2
Source: the Alexandria database
Functional: PBE-GGA
Structure: optimized geometry

The structure in POSCAR format:
```
ZnMoOs2
1.0
1.433 -2.283 0.000
1.433 2.283 0.000
0.000 0.000 9.144
Zn Mo Os
1 1 2
Cartesian
0.000 0.000 0.000
1.433 0.000 6.807
0.000 0.000 4.543
1.433 0.000 2.243
```

Results
The energy of formation comes out at 395 meV per atom. The value obtained for the calculated density is 15.0 g/cm3. The magnetic moment is 0.000 μB/f.u. The value obtained for the energy is -32.98 eV per cell. As for the crystal system: orthorhombic.


[7]
Compound: ZnMoOs2
Source: the Alexandria database
Functional: PBE-GGA
Structure: optimized geometry

The structure in POSCAR format:
```
ZnMoOs2
1.0
4.495 -1.376 0.000
4.495 1.376 0.000
-0.783 0.000 4.744
Zn Mo Os
1 1 2
Cartesian
0.000 0.000 0.000
4.103 0.000 2.372
1.610 0.000 3.582
6.597 0.000 1.161
```

Results
The energy of formation comes out at 198 meV per atom. The value obtained for the calculated density is 15.3 g/cm3. The magnetic moment is 0.000 μB/f.u. The value obtained for the energy is -33.77 eV per cell. As for the crystal system: monoclinic.


[8]
Compound: ZnMoOs4
Source: the Alexandria database
Functional: PBE-GGA
Structure: optimized geometry

The structure in POSCAR format:
```
ZnMoOs4
1.0
0.000 3.621 3.621
3.621 0.000 3.621
3.621 3.621 0.000
Zn Mo Os
1 1 4
Cartesian
0.000 0.000 0.000
5.432 5.432 5.432
2.713 2.713 2.713
4.530 4.530 2.713
4.530 2.713 4.530
2.713 4.530 4.530
```

Results
The energy of formation comes out at 556 meV per atom. The value obtained for the calculated density is 16.1 g/cm3. The magnetic moment is 0.001 μB/f.u. The value obtained for the energy is -53.69 eV per cell. As for the crystal system: cubic.